KCrAs2O8 | GGA+U | relaxed

Lattice parameters (Å, degrees): 9.164 9.164 9.164 34.29 34.29 34.29
Positions (direct):
K: 0.000 0.000 0.000
Cr: 0.500 0.500 0.500
As: 0.233 0.233 0.233
As: 0.767 0.767 0.767
O: 0.135 0.615 0.615
O: 0.298 0.298 0.298
O: 0.385 0.385 0.865
O: 0.385 0.865 0.385
O: 0.615 0.135 0.615
O: 0.615 0.615 0.135
O: 0.702 0.702 0.702
O: 0.865 0.385 0.385

Calculated values
Its space-group type is R-3m. As for the uncorrected energy: -5.949 eV/atom. The crystal system is trigonal. The calculation puts the density of states at the Fermi level at 9.1 states/eV per cell.